# 1
Here is an optimized crystal structure of Pm4Ga5Rh2 from the Alexandria database. Energies are from GGA-PBE.

- formation enthalpy at 0 K (kJ/mol of atoms) = -58
- space-group type = P2/m, No. 10

a b c (Å): 3.8341 7.1093 9.1686
angles (deg): 92.94 90.00 90.00
Closest atoms and distances in Å follow each position.
Element x y z (fractional)
Rh 0.0000 0.9304 0.3543  2 Ga 2.64-2.66, 1 Rh 2.80, 2 Pm 2.86
Rh 0.0000 0.0696 0.6457  2 Ga 2.64-2.66, 1 Rh 2.80, 2 Pm 2.86
Ga 0.0000 0.1896 0.1575  1 Rh 2.64, 2 Ga 2.70-2.90
Ga 0.0000 0.4429 0.6891  1 Rh 2.66, 2 Ga 2.86-2.90
Ga 0.0000 0.5571 0.3109  1 Rh 2.66, 2 Ga 2.86-2.90
Ga 0.0000 0.8104 0.8425  1 Rh 2.64, 2 Ga 2.70-2.90
Ga 0.0000 0.5000 0.0000  4 Ga 2.70-2.86
Pm 0.5000 0.1837 0.8641  2 Rh 2.86, 4 Ga 3.15-3.16
Pm 0.5000 0.7533 0.5609  4 Rh 3.02-3.03, 6 Ga 3.19-3.25
Pm 0.5000 0.2467 0.4391  4 Rh 3.02-3.03, 6 Ga 3.19-3.25
Pm 0.5000 0.8163 0.1359  2 Rh 2.86, 4 Ga 3.15-3.16

# 2
Here is an optimized crystal structure of PmGa3Rh from the Alexandria database. Energies are from GGA-PBE.

- formation enthalpy at 0 K (kJ/mol of atoms) = -55
- energy relative to the lowest polymorph listed for this composition (eV per atom) = 0.065
- space-group type = P2_1/c, No. 14

a b c (Å): 5.8122 7.7031 8.4641
angles (deg): 97.15 90.00 90.00
Closest atoms and distances in Å follow each position.
Element x y z (fractional)
Rh 0.0633 0.1948 0.9586  6 Ga 2.53-2.77
Rh 0.9367 0.8052 0.0414  6 Ga 2.53-2.77
Rh 0.5633 0.3052 0.0414  6 Ga 2.53-2.77
Rh 0.4367 0.6948 0.9586  6 Ga 2.53-2.77
Pm 0.6217 0.6926 0.6310  1 Rh 2.97, 8 Ga 3.03-3.32
Pm 0.1217 0.8074 0.3690  1 Rh 2.97, 8 Ga 3.03-3.32
Pm 0.3783 0.3074 0.3690  1 Rh 2.97, 8 Ga 3.03-3.32
Pm 0.8783 0.1926 0.6310  1 Rh 2.97, 8 Ga 3.03-3.32
Ga 0.1719 0.4971 0.1035  4 Rh 2.57-2.84, 2 Ga 2.66-2.83
Ga 0.6719 0.0029 0.8965  4 Rh 2.57-2.84, 2 Ga 2.66-2.83
Ga 0.8665 0.1314 0.2119  3 Rh 2.53-2.77, 2 Ga 2.55-2.57
Ga 0.3665 0.3686 0.7881  3 Rh 2.53-2.77, 2 Ga 2.55-2.57
Ga 0.3281 0.9971 0.1035  4 Rh 2.57-2.84, 2 Ga 2.66-2.83
Ga 0.8281 0.5029 0.8965  4 Rh 2.57-2.84, 2 Ga 2.66-2.83
Ga 0.1335 0.8686 0.7881  3 Rh 2.53-2.77, 2 Ga 2.55-2.57
Ga 0.8889 0.4405 0.3649  4 Ga 2.55-2.83
Ga 0.6335 0.6314 0.2119  3 Rh 2.53-2.77, 2 Ga 2.55-2.57
Ga 0.3889 0.0595 0.6351  4 Ga 2.55-2.83
Ga 0.1111 0.5595 0.6351  4 Ga 2.55-2.83
Ga 0.6111 0.9405 0.3649  4 Ga 2.55-2.83

# 3
Here is an optimized crystal structure of PmGa3Rh from the Alexandria database. Energies are from GGA-PBE.

- formation enthalpy at 0 K (kJ/mol of atoms) = -42
- energy relative to the lowest polymorph listed for this composition (eV per atom) = 0.205
- space-group type = Pm-3m, No. 221

a b c (Å): 4.7464 4.7464 4.7464
angles (deg): 90.00 90.00 90.00
Closest atoms and distances in Å follow each position.
Element x y z (fractional)
Ga 0.0000 0.0000 0.5000  2 Rh 2.37
Ga 0.5000 0.0000 0.0000  2 Rh 2.37
Ga 0.0000 0.5000 0.0000  2 Rh 2.37
Rh 0.0000 0.0000 0.0000  6 Ga 2.37
Pm 0.5000 0.5000 0.5000  12 Ga 3.36